Record 1
{"formula": "NaZr2", "functional": "GGA-PBE", "state": "relaxed", "lattice": [[0.000, 6.285, 6.285], [6.285, 0.000, 6.285], [6.285, 6.285, 0.000]], "species": ["Na", "Na", "Zr", "Zr", "Zr", "Zr"], "fractional_positions": [[0.125, 0.125, 0.125], [0.875, 0.875, 0.875], [0.000, 0.000, 0.000], [0.000, 0.000, 0.500], [0.000, 0.500, 0.000], [0.500, 0.000, 0.000]], "total_energy_ev_per_cell": -14.98, "m_tot_mub_per_cell": 10.08, "polymorph_energy_ev_per_atom": 3.338, "sg": "Fd-3m, No. 227", "vol_a3_per_cell": 497}



Record 2
{"formula": "NaZr5", "functional": "GGA-PBE", "state": "relaxed", "lattice": [[6.158, 0.000, 0.000], [-3.079, 5.333, 0.000], [0.000, 0.000, 4.860]], "species": ["Na", "Zr", "Zr", "Zr", "Zr", "Zr"], "fractional_positions": [[0.000, 0.000, 0.000], [0.000, 0.500, 0.500], [0.333, 0.667, 0.000], [0.500, 0.000, 0.500], [0.500, 0.500, 0.500], [0.667, 0.333, 0.000]], "total_energy_ev_per_cell": -40.47, "m_tot_mub_per_cell": 0.04, "polymorph_energy_ev_per_atom": 0.296, "sg": "P6/mmm, No. 191", "vol_a3_per_cell": 160}



Record 3
{"formula": "NdNb2", "functional": "GGA-PBE", "state": "relaxed", "lattice": [[0.000, 5.910, 5.910], [5.910, 0.000, 5.910], [5.910, 5.910, 0.000]], "species": ["Nd", "Nd", "Nb", "Nb", "Nb", "Nb"], "fractional_positions": [[0.125, 0.125, 0.125], [0.875, 0.875, 0.875], [0.000, 0.000, 0.000], [0.000, 0.000, 0.500], [0.000, 0.500, 0.000], [0.500, 0.000, 0.000]], "total_energy_ev_per_cell": -25.43, "m_tot_mub_per_cell": 4.40, "polymorph_energy_ev_per_atom": 3.805, "sg": "Fd-3m, No. 227", "vol_a3_per_cell": 413}



Record 4
{"formula": "NdNb", "functional": "GGA-PBE", "state": "relaxed", "lattice": [[0.000, 3.004, 3.004], [3.004, 0.000, 3.004], [3.004, 3.004, 0.000]], "species": ["Nd", "Nb"], "fractional_positions": [[0.000, 0.000, 0.000], [0.500, 0.500, 0.500]], "total_energy_ev_per_cell": -12.21, "m_tot_mub_per_cell": 0.01, "polymorph_energy_ev_per_atom": 0.691, "sg": "Fm-3m, No. 225", "vol_a3_per_cell": 54}



Record 5
{"formula": "NdNb", "functional": "GGA-PBE", "state": "relaxed", "lattice": [[3.207, 0.000, 0.000], [-1.604, 2.778, 0.000], [0.000, 0.000, 5.533]], "species": ["Nd", "Nb"], "fractional_positions": [[0.000, 0.000, 0.000], [0.333, 0.667, 0.500]], "total_energy_ev_per_cell": -13.59, "m_tot_mub_per_cell": 0.01, "polymorph_energy_ev_per_atom": 0.000, "sg": "P-6m2, No. 187", "vol_a3_per_cell": 49}



Record 6
{"formula": "NdNb", "functional": "GGA-PBE", "state": "relaxed", "lattice": [[0.000, 3.226, 3.226], [3.226, 0.000, 3.226], [3.226, 3.226, 0.000]], "species": ["Nd", "Nb"], "fractional_positions": [[0.000, 0.000, 0.000], [0.250, 0.250, 0.250]], "total_energy_ev_per_cell": -10.03, "m_tot_mub_per_cell": 1.91, "polymorph_energy_ev_per_atom": 1.781, "sg": "F-43m, No. 216", "vol_a3_per_cell": 67}